No. 1
# Sr2CdPt2, relaxed, DFT PBE
# Density in kg/m3: 8776
# Total moment in μB per formula unit: 0.0
# Final energy in eV per atom: -4.0322
# Formation enthalpy at 0 K in eV per atom: -0.760
data_Sr2CdPt2
_chemical_formula_sum 'Sr8 Cd4 Pt8'
_space_group_name_H-M_alt 'C 1 2/c 1'
_space_group_IT_number 15
_cell_length_a 10.481
_cell_length_b 5.938
_cell_length_c 8.514
_cell_angle_alpha 90.00
_cell_angle_beta 104.49
_cell_angle_gamma 90.00
loop_
_space_group_symop_operation_xyz
'x,y,z'
'-x,-y,-z'
'-x,y,-z+1/2'
'x,-y,z+1/2'
'x+1/2,y+1/2,z'
'-x+1/2,-y+1/2,-z'
'-x+1/2,y+1/2,-z+1/2'
'x+1/2,-y+1/2,z+1/2'
loop_
_atom_site_label
_atom_site_type_symbol
_atom_site_fract_x
_atom_site_fract_y
_atom_site_fract_z
Sr1 Sr 0.148 0.147 0.147
Cd1 Cd 0.000 0.367 0.750
Pt1 Pt 0.140 0.356 0.507


No. 2
# GdYHg, relaxed, DFT PBE
# Density in kg/m3: 8631
# Total moment in μB per formula unit: 7.3
# Energy relative to the lowest polymorph listed for this composition in eV per formula unit: 0.41
# Final energy in eV per atom: -7.1462
# Formation enthalpy at 0 K in eV per atom: -0.197
data_GdYHg
_chemical_formula_sum 'Gd1 Y1 Hg1'
_space_group_name_H-M_alt 'P 3 m 1'
_space_group_IT_number 156
_cell_length_a 5.1586
_cell_length_b 5.1586
_cell_length_c 3.7294
_cell_angle_alpha 90.00
_cell_angle_beta 90.00
_cell_angle_gamma 120.00
loop_
_space_group_symop_operation_xyz
'x,y,z'
'-y,x-y,z'
'-x+y,-x,z'
'-y,-x,z'
'-x+y,y,z'
'x,x-y,z'
loop_
_atom_site_label
_atom_site_type_symbol
_atom_site_fract_x
_atom_site_fract_y
_atom_site_fract_z
Gd1 Gd 0.0000 0.0000 0.0000
Y1 Y 0.6667 0.3333 0.4610
Hg1 Hg 0.3333 0.6667 0.6826


No. 3
# Li4Ag4Au3, relaxed, DFT PBE
# Density in kg/m3: 9571
# Total moment in μB per formula unit: 0.0
# Final energy in eV per atom: -2.9385
# Formation enthalpy at 0 K in eV per atom: -0.312
data_Li4Ag4Au3
_chemical_formula_sum 'Li4 Ag4 Au3'
_space_group_name_H-M_alt 'P -1'
_space_group_IT_number 2
_cell_length_a 2.901
_cell_length_b 3.899
_cell_length_c 16.271
_cell_angle_alpha 96.87
_cell_angle_beta 94.33
_cell_angle_gamma 90.08
loop_
_space_group_symop_operation_xyz
'x,y,z'
'-x,-y,-z'
loop_
_atom_site_label
_atom_site_type_symbol
_atom_site_fract_x
_atom_site_fract_y
_atom_site_fract_z
Li1 Li 0.046 0.044 0.090
Li2 Li 0.324 0.322 0.642
Ag1 Ag 0.228 0.227 0.452
Ag2 Ag 0.410 0.412 0.823
Au1 Au 0.135 0.136 0.276
Au2 Au 0.500 0.500 0.000


No. 4
# CaMgCu3, relaxed, DFT PBE
# Density in kg/m3: 4462
# Total moment in μB per formula unit: 0.0
# Energy relative to the lowest polymorph listed for this composition in eV per formula unit: 0.00
# Final energy in eV per atom: -3.1804
# Formation enthalpy at 0 K in eV per atom: -0.003
data_CaMgCu3
_chemical_formula_sum 'Ca2 Mg2 Cu6'
_space_group_name_H-M_alt 'I 4 m m'
_space_group_IT_number 107
_space_group_name_Hall 'I 4 -2'
_cell_length_a 4.559
_cell_length_b 4.559
_cell_length_c 9.131
_cell_angle_alpha 90.00
_cell_angle_beta 90.00
_cell_angle_gamma 90.00
loop_
_atom_site_label
_atom_site_type_symbol
_atom_site_fract_x
_atom_site_fract_y
_atom_site_fract_z
Ca1 Ca 0.000 0.000 0.000
Mg1 Mg 0.000 0.000 0.378
Cu1 Cu 0.000 0.000 0.658
Cu2 Cu 0.000 0.500 0.234


No. 5
# Zr2Zn, relaxed, DFT PBE
# Density in kg/m3: 6565
# Total moment in μB per formula unit: 0.0
# Final energy in eV per atom: -6.1928
# Formation enthalpy at 0 K in eV per atom: -0.069
data_Zr2Zn
_chemical_formula_sum 'Zr8 Zn4'
_space_group_name_H-M_alt 'C 1 2/m 1'
_space_group_IT_number 12
_cell_length_a 13.164
_cell_length_b 3.295
_cell_length_c 5.781
_cell_angle_alpha 90.00
_cell_angle_beta 90.18
_cell_angle_gamma 90.00
loop_
_space_group_symop_operation_xyz
'x,y,z'
'-x,-y,-z'
'-x,y,-z'
'x,-y,z'
'x+1/2,y+1/2,z'
'-x+1/2,-y+1/2,-z'
'-x+1/2,y+1/2,-z'
'x+1/2,-y+1/2,z'
loop_
_atom_site_label
_atom_site_type_symbol
_atom_site_fract_x
_atom_site_fract_y
_atom_site_fract_z
Zr1 Zr 0.000 0.000 0.000
Zr2 Zr 0.000 0.000 0.500
Zr3 Zr 0.188 0.500 0.251
Zn1 Zn 0.142 0.500 0.751


No. 6
# MgCo3Br9, relaxed, DFT PBE
# Density in kg/m3: 3555
# Total moment in μB per formula unit: 10.0
# Energy relative to the elements, uncorrected in meV per atom: -498
# Final energy in eV per atom: -3.4187
data_MgCo3Br9
_chemical_formula_sum 'Mg4 Co12 Br36'
_space_group_name_H-M_alt 'C 1 c 1'
_space_group_IT_number 9
_cell_length_a 18.229
_cell_length_b 9.196
_cell_length_c 13.125
_cell_angle_alpha 90.00
_cell_angle_beta 128.61
_cell_angle_gamma 90.00
loop_
_space_group_symop_operation_xyz
'x,y,z'
'x,-y,z+1/2'
'x+1/2,y+1/2,z'
'x+1/2,-y+1/2,z+1/2'
loop_
_atom_site_label
_atom_site_type_symbol
_atom_site_fract_x
_atom_site_fract_y
_atom_site_fract_z
Mg1 Mg 0.000 0.228 0.000
Co1 Co 0.139 0.114 0.827
Co2 Co 0.235 0.431 0.720
Co3 Co 0.364 0.072 0.675
Br1 Br 0.014 0.082 0.835
Br2 Br 0.114 0.344 0.727
Br3 Br 0.140 0.066 0.202
Br4 Br 0.155 0.381 0.064
Br5 Br 0.245 0.252 0.594
Br6 Br 0.296 0.127 0.025
Br7 Br 0.362 0.476 0.425
Br8 Br 0.402 0.031 0.368
Br9 Br 0.488 0.179 0.693


No. 7
# Ba3AgRu2O9, relaxed, DFT PBE
# Density in kg/m3: 6509
# Total moment in μB per formula unit: 5.0
# Energy relative to the elements, uncorrected in meV per atom: -1612
# Final energy in eV per atom: -6.3980
data_Ba3AgRu2O9
_chemical_formula_sum 'Ba3 Ag1 Ru2 O9'
_space_group_name_H-M_alt 'P -3 m 1'
_space_group_IT_number 164
_space_group_name_Hall '-P 3 2"'
_cell_length_a 5.8817
_cell_length_b 5.8817
_cell_length_c 7.3742
_cell_angle_alpha 90.00
_cell_angle_beta 90.00
_cell_angle_gamma 120.00
loop_
_atom_site_label
_atom_site_type_symbol
_atom_site_fract_x
_atom_site_fract_y
_atom_site_fract_z
Ba1 Ba 0.0000 0.0000 0.0000
Ba2 Ba 0.3333 0.6667 0.6765
Ag1 Ag 0.0000 0.0000 0.5000
Ru1 Ru 0.3333 0.6667 0.1650
O1 O 0.0000 0.5000 0.0000
O2 O 0.1781 0.3562 0.3046


No. 8
# BaMg2GaIr, relaxed, DFT PBE
# Density in kg/m3: 5787
# Total moment in μB per formula unit: 0.0
# Energy relative to the lowest polymorph listed for this composition in eV per formula unit: 0.00
# Final energy in eV per atom: -3.7907
# Formation enthalpy at 0 K in eV per atom: -0.391
data_BaMg2GaIr
_chemical_formula_sum 'Ba1 Mg2 Ga1 Ir1'
_space_group_name_H-M_alt 'P 4/m m m'
_space_group_IT_number 123
_space_group_name_Hall '-P 4 2'
_cell_length_a 5.123
_cell_length_b 5.123
_cell_length_c 4.898
_cell_angle_alpha 90.00
_cell_angle_beta 90.00
_cell_angle_gamma 90.00
loop_
_atom_site_label
_atom_site_type_symbol
_atom_site_fract_x
_atom_site_fract_y
_atom_site_fract_z
Ba1 Ba 0.000 0.000 0.000
Mg1 Mg 0.000 0.500 0.500
Ga1 Ga 0.500 0.500 0.000
Ir1 Ir 0.500 0.500 0.500


No. 9
# BeIr2Os, relaxed, DFT PBE
# Density in kg/m3: 17990
# Total moment in μB per formula unit: 0.0
# Final energy in eV per atom: -8.0023
# Formation enthalpy at 0 K in eV per atom: 0.167
data_BeIr2Os
_chemical_formula_sum 'Be2 Ir4 Os2'
_space_group_name_H-M_alt 'C m m m'
_space_group_IT_number 65
_space_group_name_Hall '-C 2 2'
_cell_length_a 2.735
_cell_length_b 4.661
_cell_length_c 8.453
_cell_angle_alpha 90.00
_cell_angle_beta 90.00
_cell_angle_gamma 90.00
loop_
_atom_site_label
_atom_site_type_symbol
_atom_site_fract_x
_atom_site_fract_y
_atom_site_fract_z
Be1 Be 0.000 0.000 0.000
Ir1 Ir 0.000 0.500 0.221
Os1 Os 0.000 0.000 0.500


No. 10
# Na2TlGeMo, relaxed, DFT PBE
# Density in kg/m3: 4640
# Total moment in μB per formula unit: 3.4
# Final energy in eV per atom: -3.4390
# Formation enthalpy at 0 K in eV per atom: 0.652
data_Na2TlGeMo
_chemical_formula_sum 'Na2 Tl1 Ge1 Mo1'
_space_group_name_H-M_alt 'P 4/m m m'
_space_group_IT_number 123
_space_group_name_Hall '-P 4 2'
_cell_length_a 5.507
_cell_length_b 5.507
_cell_length_c 4.943
_cell_angle_alpha 90.00
_cell_angle_beta 90.00
_cell_angle_gamma 90.00
loop_
_atom_site_label
_atom_site_type_symbol
_atom_site_fract_x
_atom_site_fract_y
_atom_site_fract_z
Na1 Na 0.000 0.500 0.000
Tl1 Tl 0.000 0.000 0.500
Ge1 Ge 0.500 0.500 0.000
Mo1 Mo 0.500 0.500 0.500


No. 11
# Ti6Te2H, relaxed, DFT PBE
# Density in kg/m3: 6330
# Total moment in μB per formula unit: 0.0
# Final energy in eV per atom: -6.6399
data_Ti6Te2H
_chemical_formula_sum 'Ti12 Te4 H2'
_space_group_name_H-M_alt 'C 1 2/m 1'
_space_group_IT_number 12
_cell_length_a 10.271
_cell_length_b 5.660
_cell_length_c 4.905
_cell_angle_alpha 90.00
_cell_angle_beta 90.95
_cell_angle_gamma 90.00
loop_
_space_group_symop_operation_xyz
'x,y,z'
'-x,-y,-z'
'-x,y,-z'
'x,-y,z'
'x+1/2,y+1/2,z'
'-x+1/2,-y+1/2,-z'
'-x+1/2,y+1/2,-z'
'x+1/2,-y+1/2,z'
loop_
_atom_site_label
_atom_site_type_symbol
_atom_site_fract_x
_atom_site_fract_y
_atom_site_fract_z
Ti1 Ti 0.074 0.240 0.244
Ti2 Ti 0.175 0.000 0.712
Te1 Te 0.171 0.500 0.771
H1 H 0.000 0.000 0.500


No. 12
# AcAgCl6, relaxed, DFT PBE
# Density in kg/m3: 3969
# Total moment in μB per formula unit: 0.0
# Energy relative to the elements, uncorrected in meV per atom: -1253
# Final energy in eV per atom: -3.5082
data_AcAgCl6
_chemical_formula_sum 'Ac1 Ag1 Cl6'
_space_group_name_H-M_alt 'P -1'
_space_group_IT_number 2
_cell_length_a 4.931
_cell_length_b 6.710
_cell_length_c 7.163
_cell_angle_alpha 94.45
_cell_angle_beta 103.85
_cell_angle_gamma 91.71
loop_
_space_group_symop_operation_xyz
'x,y,z'
'-x,-y,-z'
loop_
_atom_site_label
_atom_site_type_symbol
_atom_site_fract_x
_atom_site_fract_y
_atom_site_fract_z
Ac1 Ac 0.000 0.000 0.000
Ag1 Ag 0.000 0.500 0.500
Cl1 Cl 0.170 0.188 0.416
Cl2 Cl 0.174 0.647 0.258
Cl3 Cl 0.468 0.754 0.947


No. 13
# KTlCu2Br4, relaxed, DFT PBE
# Density in kg/m3: 4350
# Total moment in μB per formula unit: 0.0
# Energy relative to the elements, uncorrected in meV per atom: -771
# Final energy in eV per atom: -3.0643
data_KTlCu2Br4
_chemical_formula_sum 'K2 Tl2 Cu4 Br8'
_space_group_name_H-M_alt 'I 2 2 2'
_space_group_IT_number 23
_cell_length_a 7.947
_cell_length_b 7.953
_cell_length_c 8.337
_cell_angle_alpha 90.00
_cell_angle_beta 90.00
_cell_angle_gamma 90.00
loop_
_space_group_symop_operation_xyz
'x,y,z'
'-x,-y,z'
'x,-y,-z'
'-x,y,-z'
'x+1/2,y+1/2,z+1/2'
'-x+1/2,-y+1/2,z+1/2'
'x+1/2,-y+1/2,-z+1/2'
'-x+1/2,y+1/2,-z+1/2'
loop_
_atom_site_label
_atom_site_type_symbol
_atom_site_fract_x
_atom_site_fract_y
_atom_site_fract_z
K1 K 0.000 0.000 0.000
Tl1 Tl 0.000 0.000 0.500
Cu1 Cu 0.000 0.500 0.337
Br1 Br 0.202 0.302 0.706


No. 14
# YV2TeCl, relaxed, DFT PBE
# Density in kg/m3: 3155
# Total moment in μB per formula unit: 7.9
# Energy relative to the elements, uncorrected in meV per atom: 1245
# Final energy in eV per atom: -4.6925
data_YV2TeCl
_chemical_formula_sum 'Y1 V2 Te1 Cl1'
_space_group_name_H-M_alt 'P 4/m m m'
_space_group_IT_number 123
_space_group_name_Hall '-P 4 2'
_cell_length_a 5.783
_cell_length_b 5.783
_cell_length_c 5.568
_cell_angle_alpha 90.00
_cell_angle_beta 90.00
_cell_angle_gamma 90.00
loop_
_atom_site_label
_atom_site_type_symbol
_atom_site_fract_x
_atom_site_fract_y
_atom_site_fract_z
Y1 Y 0.000 0.000 0.000
V1 V 0.000 0.500 0.000
Te1 Te 0.000 0.000 0.500
Cl1 Cl 0.500 0.500 0.500


No. 15
# La2Nd2Ni3, relaxed, DFT PBE
# Density in kg/m3: 6986
# Total moment in μB per formula unit: 0.0
# Final energy in eV per atom: -5.4535
# Formation enthalpy at 0 K in eV per atom: -0.206
data_La2Nd2Ni3
_chemical_formula_sum 'La4 Nd4 Ni6'
_space_group_name_H-M_alt 'C 1 2/m 1'
_space_group_IT_number 12
_cell_length_a 14.906
_cell_length_b 4.344
_cell_length_c 5.844
_cell_angle_alpha 90.00
_cell_angle_beta 111.14
_cell_angle_gamma 90.00
loop_
_space_group_symop_operation_xyz
'x,y,z'
'-x,-y,-z'
'-x,y,-z'
'x,-y,z'
'x+1/2,y+1/2,z'
'-x+1/2,-y+1/2,-z'
'-x+1/2,y+1/2,-z'
'x+1/2,-y+1/2,z'
loop_
_atom_site_label
_atom_site_type_symbol
_atom_site_fract_x
_atom_site_fract_y
_atom_site_fract_z
La1 La 0.135 0.000 0.210
Nd1 Nd 0.114 0.500 0.683
Ni1 Ni 0.000 0.500 0.000
Ni2 Ni 0.240 0.000 0.848


No. 16
# PrGdDyMg, relaxed, DFT PBE
# Density in kg/m3: 6525
# Total moment in μB per formula unit: 7.6
# Final energy in eV per atom: -6.2365
# Formation enthalpy at 0 K in eV per atom: 0.028
data_PrGdDyMg
_chemical_formula_sum 'Pr4 Gd4 Dy4 Mg4'
_space_group_name_H-M_alt 'F -4 3 m'
_space_group_IT_number 216
_space_group_name_Hall 'F -4 2 3'
_cell_length_a 7.903
_cell_length_b 7.903
_cell_length_c 7.903
_cell_angle_alpha 90.00
_cell_angle_beta 90.00
_cell_angle_gamma 90.00
loop_
_atom_site_label
_atom_site_type_symbol
_atom_site_fract_x
_atom_site_fract_y
_atom_site_fract_z
Pr1 Pr 0.000 0.000 0.000
Gd1 Gd 0.000 0.000 0.500
Dy1 Dy 0.250 0.250 0.750
Mg1 Mg 0.250 0.250 0.250


No. 17
# CsGePb2, relaxed, DFT PBE
# Density in kg/m3: 6540
# Total moment in μB per formula unit: 0.0
# Energy relative to the lowest polymorph listed for this composition in eV per formula unit: 0.04
# Final energy in eV per atom: -3.2109
# Formation enthalpy at 0 K in eV per atom: 0.011
data_CsGePb2
_chemical_formula_sum 'Cs3 Ge3 Pb6'
_space_group_name_H-M_alt 'R -3 m'
_space_group_IT_number 166
_space_group_name_Hall '-R 3 2"'
_cell_length_a 4.9817
_cell_length_b 4.9817
_cell_length_c 21.9730
_cell_angle_alpha 90.00
_cell_angle_beta 90.00
_cell_angle_gamma 120.00
loop_
_atom_site_label
_atom_site_type_symbol
_atom_site_fract_x
_atom_site_fract_y
_atom_site_fract_z
Cs1 Cs 0.0000 0.0000 0.0000
Ge1 Ge 0.0000 0.0000 0.5000
Pb1 Pb 0.0000 0.0000 0.2105


No. 18
# FeSbRh2, relaxed, DFT PBE
# Density in kg/m3: 10449
# Total moment in μB per formula unit: 3.4
# Energy relative to the elements, uncorrected in meV per atom: -105
# Final energy in eV per atom: -6.9272
data_FeSbRh2
_chemical_formula_sum 'Fe2 Sb2 Rh4'
_space_group_name_H-M_alt 'I -4 m 2'
_space_group_IT_number 119
_space_group_name_Hall 'I -4 -2'
_cell_length_a 3.904
_cell_length_b 3.904
_cell_length_c 7.996
_cell_angle_alpha 90.00
_cell_angle_beta 90.00
_cell_angle_gamma 90.00
loop_
_atom_site_label
_atom_site_type_symbol
_atom_site_fract_x
_atom_site_fract_y
_atom_site_fract_z
Fe1 Fe 0.000 0.000 0.000
Sb1 Sb 0.000 0.500 0.750
Rh1 Rh 0.000 0.000 0.500
Rh2 Rh 0.000 0.500 0.250


No. 19
# CoRe, relaxed, DFT PBE
# Density in kg/m3: 13520
# Total moment in μB per formula unit: 1.3
# Final energy in eV per atom: -9.1676
# Formation enthalpy at 0 K in eV per atom: 0.609
data_CoRe
_chemical_formula_sum 'Co6 Re6'
_space_group_name_H-M_alt 'P 63/m m c'
_space_group_IT_number 194
_space_group_name_Hall '-P 6c 2c'
_cell_length_a 7.1109
_cell_length_b 7.1109
_cell_length_c 4.1253
_cell_angle_alpha 90.00
_cell_angle_beta 90.00
_cell_angle_gamma 120.00
loop_
_atom_site_label
_atom_site_type_symbol
_atom_site_fract_x
_atom_site_fract_y
_atom_site_fract_z
Co1 Co 0.1326 0.2653 0.2500
Re1 Re 0.0990 0.5495 0.7500


No. 20
# DyGa4Rh, relaxed, DFT PBE
# Density in kg/m3: 7135
# Total moment in μB per formula unit: 0.0
# Final energy in eV per atom: -4.4276
# Formation enthalpy at 0 K in eV per atom: -0.417
data_DyGa4Rh
_chemical_formula_sum 'Dy4 Ga16 Rh4'
_space_group_name_H-M_alt 'I 4/m c m'
_space_group_IT_number 140
_space_group_name_Hall '-I 4 2c'
_cell_length_a 5.994
_cell_length_b 5.994
_cell_length_c 14.105
_cell_angle_alpha 90.00
_cell_angle_beta 90.00
_cell_angle_gamma 90.00
loop_
_atom_site_label
_atom_site_type_symbol
_atom_site_fract_x
_atom_site_fract_y
_atom_site_fract_z
Dy1 Dy 0.000 0.000 0.000
Ga1 Ga 0.249 0.251 0.149
Rh1 Rh 0.000 0.000 0.250